(1)
# Pu5NiRh6 PBE-GGA relaxed
# **Spin magnetization**: 1.19 μB/atom
# **Uncorrected energy**: -10.47 eV per atom
# **ΔE_f**: -0.34 eV per atom
# **Density of states at the Fermi level**: 3.875 states/eV/atom
data_Pu5NiRh6
_chemical_formula_sum 'Pu10 Ni2 Rh12'
_symmetry_space_group_name_H-M 'I m m m'
_symmetry_Int_Tables_number 71
_symmetry_space_group_name_Hall '-I 2 2'
_cell_length_a 4.5004
_cell_length_b 7.1421
_cell_length_c 14.1362
_cell_angle_alpha 90.00
_cell_angle_beta 90.00
_cell_angle_gamma 90.00
loop_
_atom_site_label
_atom_site_fract_x
_atom_site_fract_y
_atom_site_fract_z
Pu1 0.0000 0.0000 0.0000
Pu2 0.0000 0.0000 0.3606
Pu3 0.0000 0.5000 0.3197
Ni1 0.0000 0.5000 0.0000
Rh1 0.0000 0.2538 0.1603
Rh2 0.0000 0.2755 0.5000

***

(2)
# Pu6NiRh5 PBE-GGA relaxed
# **Spin magnetization**: 2.48 μB/atom
# **Uncorrected energy**: -11.07 eV per atom
# **ΔE_f**: -0.36 eV per atom
# **Density of states at the Fermi level**: 3.855 states/eV/atom
data_Pu6NiRh5
_chemical_formula_sum 'Pu12 Ni2 Rh10'
_symmetry_space_group_name_H-M 'C 1 2/m 1'
_symmetry_Int_Tables_number 12
_cell_length_a 15.2473
_cell_length_b 6.8699
_cell_length_c 4.8200
_cell_angle_alpha 90.00
_cell_angle_beta 108.36
_cell_angle_gamma 90.00
loop_
_symmetry_equiv_pos_as_xyz
'x,y,z'
'-x,-y,-z'
'-x,y,-z'
'x,-y,z'
'x+1/2,y+1/2,z'
'-x+1/2,-y+1/2,-z'
'-x+1/2,y+1/2,-z'
'x+1/2,-y+1/2,z'
loop_
_atom_site_label
_atom_site_fract_x
_atom_site_fract_y
_atom_site_fract_z
Pu1 0.0000 0.2451 0.0000
Pu2 0.1649 0.2473 0.6647
Ni1 0.0000 0.0000 0.5000
Rh1 0.0000 0.5000 0.5000
Rh2 0.1653 0.5000 0.1650
Rh3 0.1729 0.0000 0.1728

***

(3)
# Pu12NiRh6 PBE-GGA relaxed
# **Spin magnetization**: 0.00 μB/atom
# **Uncorrected energy**: -11.91 eV per atom
# **ΔE_f**: -0.23 eV per atom
# **Density of states at the Fermi level**: 3.228 states/eV/atom
data_Pu12NiRh6
_chemical_formula_sum 'Pu36 Ni3 Rh18'
_symmetry_space_group_name_H-M 'R -3'
_symmetry_Int_Tables_number 148
_symmetry_space_group_name_Hall '-R 3'
_cell_length_a 10.7422
_cell_length_b 10.7422
_cell_length_c 11.4103
_cell_angle_alpha 90.00
_cell_angle_beta 90.00
_cell_angle_gamma 120.00
loop_
_atom_site_label
_atom_site_fract_x
_atom_site_fract_y
_atom_site_fract_z
Pu1 0.0539 0.2361 0.4121
Pu2 0.0557 0.8721 0.7914
Ni1 0.0000 0.0000 0.0000
Rh1 0.0588 0.6033 0.7100

***

(4)
# PuNiRh PBE-GGA relaxed
# **Energy above the most stable polymorph in this dataset**: 187 meV/atom
# **Spin magnetization**: 1.63 μB/atom
# **Uncorrected energy**: -9.39 eV per atom
# **ΔE_f**: -0.23 eV per atom
# **Density of states at the Fermi level**: 3.103 states/eV/atom
data_PuNiRh
_chemical_formula_sum 'Pu1 Ni1 Rh1'
_symmetry_space_group_name_H-M 'P -6 m 2'
_symmetry_Int_Tables_number 187
_symmetry_space_group_name_Hall 'P -6 2'
_cell_length_a 4.1557
_cell_length_b 4.1557
_cell_length_c 3.7023
_cell_angle_alpha 90.00
_cell_angle_beta 90.00
_cell_angle_gamma 120.00
loop_
_atom_site_label
_atom_site_fract_x
_atom_site_fract_y
_atom_site_fract_z
Pu1 0.0000 0.0000 0.0000
Ni1 0.3333 0.6667 0.5000
Rh1 0.6667 0.3333 0.5000

***

(5)
# Pu2NiRh2 PBE-GGA relaxed
# **Spin magnetization**: 1.94 μB/atom
# **Uncorrected energy**: -10.18 eV per atom
# **ΔE_f**: -0.35 eV per atom
# **Density of states at the Fermi level**: 3.122 states/eV/atom
data_Pu2NiRh2
_chemical_formula_sum 'Pu8 Ni4 Rh8'
_symmetry_space_group_name_H-M 'C 1 2/c 1'
_symmetry_Int_Tables_number 15
_cell_length_a 9.4385
_cell_length_b 5.8635
_cell_length_c 7.0150
_cell_angle_alpha 90.00
_cell_angle_beta 108.22
_cell_angle_gamma 90.00
loop_
_symmetry_equiv_pos_as_xyz
'x,y,z'
'-x,-y,-z'
'-x,y,-z+1/2'
'x,-y,z+1/2'
'x+1/2,y+1/2,z'
'-x+1/2,-y+1/2,-z'
'-x+1/2,y+1/2,-z+1/2'
'x+1/2,-y+1/2,z+1/2'
loop_
_atom_site_label
_atom_site_fract_x
_atom_site_fract_y
_atom_site_fract_z
Pu1 0.1603 0.1164 0.1516
Ni1 0.0000 0.2706 0.7500
Rh1 0.1141 0.3782 0.4697

***

(6)
# PuNiRuRh PBE-GGA relaxed
# **Spin magnetization**: 0.75 μB/atom
# **Uncorrected energy**: -9.33 eV per atom
# **ΔE_f**: -0.14 eV per atom
# **Density of states at the Fermi level**: 1.629 states/eV/atom
data_PuNiRuRh
_chemical_formula_sum 'Pu4 Ni4 Ru4 Rh4'
_symmetry_space_group_name_H-M 'F -4 3 m'
_symmetry_Int_Tables_number 216
_symmetry_space_group_name_Hall 'F -4 2 3'
_cell_length_a 6.3237
_cell_length_b 6.3237
_cell_length_c 6.3237
_cell_angle_alpha 90.00
_cell_angle_beta 90.00
_cell_angle_gamma 90.00
loop_
_atom_site_label
_atom_site_fract_x
_atom_site_fract_y
_atom_site_fract_z
Pu1 0.0000 0.0000 0.0000
Ni1 0.0000 0.0000 0.5000
Ru1 0.2500 0.2500 0.2500
Rh1 0.2500 0.2500 0.7500